{"formula": "Mn2InO4", "functional": "PBE with a Hubbard U", "state": "optimized geometry", "lattice_angstrom": [[6.3190, 0.0000, 0.0000], [0.0000, 8.5430, 0.0000], [0.0000, 0.0000, 3.2488]], "species": ["Mn", "Mn", "Mn", "Mn", "In", "In", "O", "O", "O", "O", "O", "O", "O", "O"], "frac_coords": [[0.2500, 0.2500, 0.0000], [0.2500, 0.7500, 0.0000], [0.7500, 0.2500, 0.0000], [0.7500, 0.7500, 0.0000], [0.0000, 0.0000, 0.5000], [0.5000, 0.5000, 0.5000], [0.0000, 0.2518, 0.5000], [0.0000, 0.7482, 0.5000], [0.2295, 0.0000, 0.0000], [0.2705, 0.5000, 0.0000], [0.5000, 0.2482, 0.5000], [0.5000, 0.7518, 0.5000], [0.7295, 0.5000, 0.0000], [0.7705, 0.0000, 0.0000]], "relative_energy_ev_per_atom": 0.155, "final_energy_ev_per_atom": -6.773}